A plane-wave DFT calculation with PBE was carried out for Nd3ErN4 after structural relaxation.

Lattice parameters (Å, degrees): 6.234 7.205 6.232 90.00 109.46 90.00
Sites, in units of the cell vectors:
Nd 0.000 0.124 0.250
Nd 0.000 0.371 0.750
Nd 0.000 0.629 0.250
Nd 0.000 0.876 0.750
Nd 0.500 0.371 0.250
Nd 0.500 0.629 0.750
Er 0.500 0.125 0.750
Er 0.500 0.875 0.250
N 0.254 0.365 0.507
N 0.254 0.635 0.007
N 0.260 0.123 0.998
N 0.260 0.877 0.498
N 0.740 0.123 0.502
N 0.740 0.877 0.002
N 0.746 0.365 0.993
N 0.746 0.635 0.493

Results
ΔE_f (raw): -1.4361 eV per atom
DFT total energy: -7.957 eV per atom

A plane-wave DFT calculation with PBE was carried out for NdEr2N after structural relaxation.

Lattice parameters (Å, degrees): 3.156 3.156 8.890 90.00 90.00 90.00
Sites, in units of the cell vectors:
Nd 0.000 0.000 0.000
Er 0.500 0.500 0.342
Er 0.500 0.500 0.658
N 0.000 0.000 0.500

Results
excess energy over the best structure of this formula in the dataset: 51.0 kJ per mole of atoms
ΔE_f (raw): -0.1909 eV per atom
DFT total energy: -5.746 eV per atom

A plane-wave DFT calculation with PBE was carried out for Nd2ErNpN4 after structural relaxation.

Lattice parameters (Å, degrees): 6.049 3.527 6.137 90.00 108.76 90.00
Sites, in units of the cell vectors:
Nd 0.000 0.000 0.000
Nd 0.500 0.500 0.000
Er 0.000 0.500 0.500
Np 0.500 0.000 0.500
N 0.257 0.000 0.719
N 0.266 0.500 0.279
N 0.734 0.500 0.721
N 0.743 0.000 0.281

Results
ΔE_f (raw): -1.4191 eV per atom
DFT total energy: -8.962 eV per atom

A plane-wave DFT calculation with PBE was carried out for Nd2ErP2N6 after structural relaxation.

Lattice parameters (Å, degrees): 5.715 5.715 6.030 90.00 90.00 120.00
Sites, in units of the cell vectors:
Nd 0.333 0.667 0.346
Nd 0.667 0.333 0.654
Er 0.000 0.000 0.000
P 0.333 0.667 0.823
P 0.667 0.333 0.177
N 0.086 0.369 0.764
N 0.282 0.914 0.764
N 0.369 0.282 0.236
N 0.631 0.718 0.764
N 0.718 0.086 0.236
N 0.914 0.631 0.236

Results
ΔE_f (raw): -0.8917 eV per atom
DFT total energy: -7.698 eV per atom

A plane-wave DFT calculation with PBE was carried out for Nd3ErPa2N6 after structural relaxation.

Lattice parameters (Å, degrees): 6.138 6.138 6.212 99.46 99.46 120.03
Sites, in units of the cell vectors:
Nd 0.000 0.000 0.000
Nd 0.334 0.666 0.000
Nd 0.666 0.334 0.000
Er 0.500 0.500 0.500
Pa 0.167 0.833 0.500
Pa 0.833 0.167 0.500
N 0.085 0.428 0.284
N 0.229 0.229 0.716
N 0.428 0.085 0.284
N 0.572 0.915 0.716
N 0.771 0.771 0.284
N 0.915 0.572 0.716

Results
ΔE_f (raw): -1.5999 eV per atom
DFT total energy: -8.917 eV per atom

A plane-wave DFT calculation with PBE was carried out for Nd2ErPaN4 after structural relaxation.

Lattice parameters (Å, degrees): 6.082 3.558 6.199 90.00 109.01 90.00
Sites, in units of the cell vectors:
Nd 0.000 0.000 0.000
Nd 0.500 0.500 0.000
Er 0.000 0.500 0.500
Pa 0.500 0.000 0.500
N 0.253 0.000 0.721
N 0.267 0.500 0.282
N 0.733 0.500 0.718
N 0.747 0.000 0.279

Results
ΔE_f (raw): -1.5929 eV per atom
DFT total energy: -8.705 eV per atom

A plane-wave DFT calculation with PBE was carried out for NdErPa2N4 after structural relaxation.

Lattice parameters (Å, degrees): 6.084 3.518 6.124 90.00 109.53 90.00
Sites, in units of the cell vectors:
Nd 0.000 0.000 0.000
Er 0.000 0.500 0.500
Pa 0.500 0.000 0.500
Pa 0.500 0.500 0.000
N 0.266 0.000 0.744
N 0.275 0.500 0.271
N 0.725 0.500 0.729
N 0.734 0.000 0.256

Results
ΔE_f (raw): -1.6094 eV per atom
DFT total energy: -9.312 eV per atom

A plane-wave DFT calculation with PBE was carried out for NdEr2PuN4 after structural relaxation.

Lattice parameters (Å, degrees): 6.046 3.500 6.046 90.00 109.35 90.00
Sites, in units of the cell vectors:
Nd 0.000 0.000 0.000
Er 0.500 0.000 0.500
Er 0.500 0.500 0.000
Pu 0.000 0.500 0.500
N 0.253 0.000 0.741
N 0.258 0.500 0.264
N 0.742 0.500 0.736
N 0.747 0.000 0.259

Results
ΔE_f (raw): -1.5068 eV per atom
DFT total energy: -9.198 eV per atom

A plane-wave DFT calculation with PBE was carried out for NdErPuN3 after structural relaxation.

Lattice parameters (Å, degrees): 7.062 3.549 9.366 90.00 105.36 90.00
Sites, in units of the cell vectors:
Nd 0.091 0.250 0.368
Nd 0.909 0.750 0.632
Er 0.436 0.750 0.638
Er 0.564 0.250 0.362
Pu 0.289 0.250 0.912
Pu 0.711 0.750 0.088
N 0.188 0.250 0.643
N 0.332 0.750 0.382
N 0.458 0.750 0.888
N 0.542 0.250 0.112
N 0.668 0.250 0.618
N 0.812 0.750 0.357

Results
ΔE_f (raw): -1.2020 eV per atom
DFT total energy: -9.308 eV per atom

A plane-wave DFT calculation with PBE was carried out for Nd2ErPuN4 after structural relaxation.

Lattice parameters (Å, degrees): 6.100 3.546 6.144 90.00 109.18 90.00
Sites, in units of the cell vectors:
Nd 0.000 0.000 0.000
Nd 0.500 0.500 0.000
Er 0.000 0.500 0.500
Pu 0.500 0.000 0.500
N 0.249 0.000 0.729
N 0.262 0.500 0.274
N 0.738 0.500 0.726
N 0.751 0.000 0.271

Results
ΔE_f (raw): -1.4270 eV per atom
DFT total energy: -9.144 eV per atom

A plane-wave DFT calculation with PBE was carried out for NdEr2ReN4 after structural relaxation.

Lattice parameters (Å, degrees): 6.089 6.089 11.533 90.00 90.00 147.04
Sites, in units of the cell vectors:
Nd 0.119 0.881 0.750
Nd 0.881 0.119 0.250
Er 0.369 0.631 0.539
Er 0.369 0.631 0.961
Er 0.631 0.369 0.039
Er 0.631 0.369 0.461
Re 0.143 0.857 0.250
Re 0.857 0.143 0.750
N 0.000 0.000 0.000
N 0.000 0.000 0.500
N 0.262 0.738 0.126
N 0.262 0.738 0.374
N 0.440 0.560 0.750
N 0.560 0.440 0.250
N 0.738 0.262 0.626
N 0.738 0.262 0.874

Results
ΔE_f (raw): -1.0632 eV per atom
DFT total energy: -8.519 eV per atom

A plane-wave DFT calculation with PBE was carried out for NdEr2RuN4 after structural relaxation.

Lattice parameters (Å, degrees): 6.054 6.054 11.532 90.00 90.00 147.14
Sites, in units of the cell vectors:
Nd 0.120 0.880 0.750
Nd 0.880 0.120 0.250
Er 0.369 0.631 0.542
Er 0.369 0.631 0.958
Er 0.631 0.369 0.042
Er 0.631 0.369 0.458
Ru 0.143 0.857 0.250
Ru 0.857 0.143 0.750
N 0.000 0.000 0.000
N 0.000 0.000 0.500
N 0.266 0.734 0.126
N 0.266 0.734 0.374
N 0.443 0.557 0.750
N 0.557 0.443 0.250
N 0.734 0.266 0.626
N 0.734 0.266 0.874

Results
ΔE_f (raw): -1.0486 eV per atom
DFT total energy: -8.107 eV per atom